# VBiF3 PBE with a Hubbard U optimized geometry
data_VBiF3
_chemical_formula_sum 'V1 Bi1 F3'
_space_group_name_H-M_alt 'P 1'
_space_group_IT_number 1
_cell_length_a 4.2702
_cell_length_b 4.2702
_cell_length_c 4.2702
_cell_angle_alpha 90.00
_cell_angle_beta 90.00
_cell_angle_gamma 90.00
loop_
_space_group_symop_operation_xyz
'x,y,z'
loop_
_atom_site_label
_atom_site_type_symbol
_atom_site_fract_x
_atom_site_fract_y
_atom_site_fract_z
F1 F 0.0000 0.5000 0.0000
F2 F 0.0000 0.0000 0.5000
F3 F 0.5000 0.0000 0.0000
Bi1 Bi 0.5000 0.5000 0.5000
V1 V 0.0000 0.0000 0.0000
# - ΔE to the lowest computed polymorph (meV per atom) = 0
# - space-group type = No. 221
# - crystal system = cubic
# - total magnetic moment (μB per atom) = 0.58